No. 1
Entry from Alexandria via LeMat-Bulk: ScMn2Rh after structural relaxation (PBE-GGA).

## Properties
Theoretical density = 6.66 g/cm3
Formation energy = -0.020 eV/atom
Energy relative to the lowest polymorph listed for this composition = 88.1 kJ/mol of formula units
Symmetry = No. 123

abc: 3.1046 3.1046 6.6631
angles: 90.00 90.00 90.00
Closest atoms and distances in Å follow each position.
Fractional coordinates of all 4 atoms:
Sc1 0.0000 0.0000 0.0000  8 Mn 2.89, 4 Sc 3.10
Mn1 0.5000 0.5000 0.2817  4 Rh 2.63, 4 Sc 2.89, 1 Mn 2.91
Mn2 0.5000 0.5000 0.7183  4 Rh 2.63, 4 Sc 2.89, 1 Mn 2.91
Rh1 0.0000 0.0000 0.5000  8 Mn 2.63



No. 2
Entry from Alexandria via LeMat-Bulk: ScMnRh14 after structural relaxation (PBE-GGA).

## Properties
Theoretical density = 11.11 g/cm3
Formation energy = -0.162 eV/atom
Symmetry = No. 123

abc: 5.4409 5.4409 7.7790
angles: 90.00 90.00 90.00
Closest atoms and distances in Å follow each position.
Fractional coordinates of all 16 atoms:
Sc1 0.0000 0.0000 0.0000  12 Rh 2.72-2.77
Mn1 0.5000 0.5000 0.0000  12 Rh 2.72-2.74
Rh1 0.0000 0.0000 0.5000  12 Rh 2.72-2.73
Rh2 0.0000 0.5000 0.0000  2 Mn 2.72, 2 Sc 2.72, 8 Rh 2.76
Rh3 0.0000 0.5000 0.5000  12 Rh 2.71-2.72
Rh4 0.2525 0.2525 0.2538  10 Rh 2.69-2.76, 1 Mn 2.74, 1 Sc 2.77
Rh5 0.2525 0.2525 0.7462  10 Rh 2.69-2.76, 1 Mn 2.74, 1 Sc 2.77
Rh6 0.2525 0.7475 0.2538  10 Rh 2.69-2.76, 1 Mn 2.74, 1 Sc 2.77
Rh7 0.2525 0.7475 0.7462  10 Rh 2.69-2.76, 1 Mn 2.74, 1 Sc 2.77
Rh8 0.5000 0.0000 0.0000  2 Mn 2.72, 2 Sc 2.72, 8 Rh 2.76
Rh9 0.5000 0.0000 0.5000  12 Rh 2.71-2.72
Rh10 0.5000 0.5000 0.5000  12 Rh 2.70-2.72
Rh11 0.7475 0.2525 0.2538  10 Rh 2.69-2.76, 1 Mn 2.74, 1 Sc 2.77
Rh12 0.7475 0.2525 0.7462  10 Rh 2.69-2.76, 1 Mn 2.74, 1 Sc 2.77
Rh13 0.7475 0.7475 0.2538  10 Rh 2.69-2.76, 1 Mn 2.74, 1 Sc 2.77
Rh14 0.7475 0.7475 0.7462  10 Rh 2.69-2.76, 1 Mn 2.74, 1 Sc 2.77



No. 3
Entry from Alexandria via LeMat-Bulk: ScMnRh2 after structural relaxation (PBE-GGA).

## Properties
Theoretical density = 8.00 g/cm3
Formation energy = -0.355 eV/atom
Symmetry = No. 25

abc: 2.9420 4.0226 5.3622
angles: 90.00 90.00 90.00
Closest atoms and distances in Å follow each position.
Fractional coordinates of all 4 atoms:
Sc1 0.0000 0.0000 0.0000  6 Rh 2.63-2.73, 2 Sc 2.94
Mn1 0.5000 0.5000 0.3233  6 Rh 2.58-2.78
Rh1 0.0000 0.0000 0.4908  2 Sc 2.63-2.73, 4 Mn 2.65, 2 Rh 2.94
Rh2 0.5000 0.5000 0.8050  2 Mn 2.58-2.78, 4 Sc 2.70



Please write out number 2 again, unchanged.
Entry from Alexandria via LeMat-Bulk: ScMnRh14 after structural relaxation (PBE-GGA).

## Properties
Theoretical density = 11.11 g/cm3
Formation energy = -0.162 eV/atom
Symmetry = No. 123

abc: 5.4409 5.4409 7.7790
angles: 90.00 90.00 90.00
Closest atoms and distances in Å follow each position.
Fractional coordinates of all 16 atoms:
Sc1 0.0000 0.0000 0.0000  12 Rh 2.72-2.77
Mn1 0.5000 0.5000 0.0000  12 Rh 2.72-2.74
Rh1 0.0000 0.0000 0.5000  12 Rh 2.72-2.73
Rh2 0.0000 0.5000 0.0000  2 Mn 2.72, 2 Sc 2.72, 8 Rh 2.76
Rh3 0.0000 0.5000 0.5000  12 Rh 2.71-2.72
Rh4 0.2525 0.2525 0.2538  10 Rh 2.69-2.76, 1 Mn 2.74, 1 Sc 2.77
Rh5 0.2525 0.2525 0.7462  10 Rh 2.69-2.76, 1 Mn 2.74, 1 Sc 2.77
Rh6 0.2525 0.7475 0.2538  10 Rh 2.69-2.76, 1 Mn 2.74, 1 Sc 2.77
Rh7 0.2525 0.7475 0.7462  10 Rh 2.69-2.76, 1 Mn 2.74, 1 Sc 2.77
Rh8 0.5000 0.0000 0.0000  2 Mn 2.72, 2 Sc 2.72, 8 Rh 2.76
Rh9 0.5000 0.0000 0.5000  12 Rh 2.71-2.72
Rh10 0.5000 0.5000 0.5000  12 Rh 2.70-2.72
Rh11 0.7475 0.2525 0.2538  10 Rh 2.69-2.76, 1 Mn 2.74, 1 Sc 2.77
Rh12 0.7475 0.2525 0.7462  10 Rh 2.69-2.76, 1 Mn 2.74, 1 Sc 2.77
Rh13 0.7475 0.7475 0.2538  10 Rh 2.69-2.76, 1 Mn 2.74, 1 Sc 2.77
Rh14 0.7475 0.7475 0.7462  10 Rh 2.69-2.76, 1 Mn 2.74, 1 Sc 2.77



The highest theoretical density belongs to which entry?
ScMnRh14



Which value of theoretical density does entry 3 give?
8.00 g/cm3